(1)
First-principles (PBE) data for an optimized crystal structure of LiNdSmTh, as listed in Alexandria.

Its theoretical density is 7.2 g cm⁻³. The formation energy comes out at 6.33 kcal/mol of atoms. For the spin magnetization, the calculation gives 0.06 μB/f.u. The raw total energy is -70.89 eV per cell.

The structure belongs to space group F-43m (No. 216); the cell edges are 7.914, 7.914 and 7.914 Å and the angles 90.00°, 90.00° and 90.00°. Symmetry generates all atoms from Li at (0.000, 0.000, 0.000), Nd at (0.250, 0.250, 0.750), Sm at (0.250, 0.250, 0.250) and Th at (0.000, 0.000, 0.500).

(2)
First-principles (PBE) data for an optimized crystal structure of Li2NdSm2Tl2, as listed in Alexandria.

Its theoretical density is 7.6 g cm⁻³. The formation energy comes out at -4.57 kcal/mol of atoms. For the spin magnetization, the calculation gives 0.00 μB/f.u. The raw total energy is -72.46 eV per cell.

The structure belongs to space group R-3m (No. 166, hexagonal axes); the cell edges are 4.9166, 4.9166 and 27.2134 Å and the angles 90.00°, 90.00° and 120.00°. Symmetry generates all atoms from Li at (0.0000, 0.0000, 0.1024), Nd at (0.0000, 0.0000, 0.5000), Sm at (0.0000, 0.0000, 0.3728) and Tl at (0.0000, 0.0000, 0.2380).

(3)
First-principles (PBE) data for an optimized crystal structure of LiNdSmTl, as listed in Alexandria.

Its theoretical density is 7.4 g cm⁻³. The formation energy comes out at -4.65 kcal/mol of atoms. For the spin magnetization, the calculation gives 0.00 μB/f.u. The raw total energy is -58.29 eV per cell.

The structure belongs to space group F-43m (No. 216); the cell edges are 7.669, 7.669 and 7.669 Å and the angles 90.00°, 90.00° and 90.00°. Symmetry generates all atoms from Li at (0.000, 0.000, 0.000), Nd at (0.250, 0.250, 0.750), Sm at (0.250, 0.250, 0.250) and Tl at (0.000, 0.000, 0.500).

(4)
First-principles (PBE) data for an optimized crystal structure of Li2Nd2SmTl2, as listed in Alexandria.

Its theoretical density is 7.5 g cm⁻³. The formation energy comes out at -4.64 kcal/mol of atoms. For the spin magnetization, the calculation gives 0.00 μB/f.u. The raw total energy is -72.67 eV per cell.

The structure belongs to space group R-3m (No. 166, hexagonal axes); the cell edges are 4.9152, 4.9152 and 27.3019 Å and the angles 90.00°, 90.00° and 120.00°. Symmetry generates all atoms from Li at (0.0000, 0.0000, 0.1064), Nd at (0.0000, 0.0000, 0.3732), Sm at (0.0000, 0.0000, 0.5000) and Tl at (0.0000, 0.0000, 0.2353).